1.
The following is a PBE calculation of a geometry-optimized AcHfRh2 structure, from Alexandria via LeMat-Bulk.

Output
- V (Å³ per atom) = 21.1
- formation energy from the elements (eV per formula unit) = -2.66
- symmetry = P4/mmm (123)
- distance to the lowest polymorph of the same formula (kJ/mol of formula units) = 8

Cell lengths 3.4015, 3.4015, 7.3082 Å; angles 90.00, 90.00, 90.00 degrees
Positions (direct):
1 Rh 0.0000 0.0000 0.8002
2 Rh 0.0000 0.0000 0.1998
3 Ac 0.5000 0.5000 0.5000
4 Hf 0.5000 0.5000 0.0000


2.
The following is a PBE calculation of a geometry-optimized PmHo2Cu2 structure, from Alexandria via LeMat-Bulk.

Output
- V (Å³ per atom) = 23.5
- formation energy from the elements (eV per formula unit) = -0.74
- symmetry = P2_1/m (11)
- distance to the lowest polymorph of the same formula (kJ/mol of formula units) = 0

Cell lengths 3.5225, 5.1259, 13.1117 Å; angles 90.00, 97.72, 90.00 degrees
Positions (direct):
1 Pm 0.8583 0.7500 0.7174
2 Pm 0.1417 0.2500 0.2826
3 Ho 0.0465 0.7500 0.0932
4 Ho 0.9535 0.2500 0.9068
5 Ho 0.2306 0.7500 0.4609
6 Ho 0.7694 0.2500 0.5391
7 Cu 0.6409 0.7500 0.2813
8 Cu 0.3591 0.2500 0.7187
9 Cu 0.4567 0.7500 0.9137
10 Cu 0.5433 0.2500 0.0863


3.
The following is a PBE calculation of a geometry-optimized Zr5Tc4Sn structure, from Alexandria via LeMat-Bulk.

Output
- V (Å³ per atom) = 18.8
- formation energy from the elements (eV per formula unit) = -3.85
- symmetry = P4/mmm (123)

Cell lengths 3.3570, 3.3570, 16.6731 Å; angles 90.00, 90.00, 90.00 degrees
Positions (direct):
1 Zr 0.5000 0.5000 0.1163
2 Zr 0.5000 0.5000 0.3069
3 Zr 0.5000 0.5000 0.5000
4 Zr 0.5000 0.5000 0.6931
5 Zr 0.5000 0.5000 0.8837
6 Tc 0.0000 0.0000 0.2040
7 Tc 0.0000 0.0000 0.4014
8 Tc 0.0000 0.0000 0.5986
9 Tc 0.0000 0.0000 0.7960
10 Sn 0.0000 0.0000 0.0000